# 1
Below is a geometry-optimized Ce2LuZr structure, with properties calculated at the PBE level.

```
Ce2LuZr
1.0
-1.7721 4.4047 -2.5533
-1.9167 -0.3845 -5.0239
-5.2714 0.6390 -0.9301
Lu Ce Zr
1 2 1
direct
0.0000 0.0000 0.0000
0.2500 0.2500 0.2500
0.7500 0.7500 0.7500
0.5000 0.5000 0.5000
```

Results
Energy relative to the lowest polymorph listed for this composition ... 0.111 eV/atom
Spin magnetization ... 0.271 μB per atom
Symmetry ... Fm-3m, No. 225
Final energy ... -24.04 eV per cell

=====

# 2
Below is a geometry-optimized CeLuZr2 structure, with properties calculated at the PBE level.

```
CeLuZr2
1.0
-2.6542 -1.3628 2.4753
2.6508 -0.0249 2.8287
-1.7204 6.3813 1.6686
Lu Zr Ce
1 2 1
direct
0.5000 0.5000 0.0000
0.0000 0.0000 0.7200
0.0000 0.0000 0.2800
0.5000 0.5000 0.5000
```

Results
Energy relative to the lowest polymorph listed for this composition ... 0.048 eV/atom
Spin magnetization ... 0.000 μB per atom
Symmetry ... P4/mmm, No. 123
Final energy ... -26.95 eV per cell

=====

# 3
Below is a geometry-optimized CeLu2Zr structure, with properties calculated at the PBE level.

```
CeLu2Zr
1.0
4.8956 0.0000 0.0000
0.0000 4.7218 0.0000
0.0000 0.0000 4.7218
Lu Zr Ce
2 1 1
direct
0.0000 0.0000 0.5000
0.0000 0.5000 0.0000
0.5000 0.0000 0.0000
0.5000 0.5000 0.5000
```

Results
Energy relative to the lowest polymorph listed for this composition ... 0.000 eV/atom
Spin magnetization ... 0.000 μB per atom
Symmetry ... P4/mmm, No. 123
Final energy ... -23.21 eV per cell

=====

# 4
Below is a geometry-optimized Ce2LuZr structure, with properties calculated at the PBE level.

```
Ce2LuZr
1.0
-2.9761 -0.8066 -1.1407
0.2101 -2.9123 1.5111
-4.2110 3.9484 8.1950
Lu Zr Ce
1 1 2
direct
0.5000 0.5000 0.5000
0.5000 0.5000 0.0000
0.0000 0.0000 0.7607
0.0000 0.0000 0.2393
```

Results
Energy relative to the lowest polymorph listed for this composition ... 0.000 eV/atom
Spin magnetization ... 0.084 μB per atom
Symmetry ... P4/mmm, No. 123
Final energy ... -24.49 eV per cell

=====

# 5
Below is a geometry-optimized CeLuZr2 structure, with properties calculated at the PBE level.

```
CeLuZr2
1.0
4.6668 0.0000 0.0000
0.0000 4.6944 0.0000
0.0000 0.0000 4.6944
Lu Ce Zr
1 1 2
direct
0.5000 0.5000 0.5000
0.5000 0.0000 0.0000
0.0000 0.0000 0.5000
0.0000 0.5000 0.0000
```

Results
Energy relative to the lowest polymorph listed for this composition ... 0.000 eV/atom
Spin magnetization ... 0.000 μB per atom
Symmetry ... P4/mmm, No. 123
Final energy ... -27.14 eV per cell

=====

# 6
Below is a geometry-optimized Ce3Mg structure, with properties calculated at the PBE level.

```
Ce3Mg
1.0
-2.5097 -4.0257 0.7162
3.9551 -2.6033 -0.7734
1.0376 0.1859 4.6805
Ce Mg
3 1
direct
0.5000 0.5000 0.0000
0.5000 0.0000 0.5000
0.0000 0.5000 0.5000
0.0000 0.0000 0.0000
```

Results
Spin magnetization ... 0.650 μB per atom
Symmetry ... Pm-3m, No. 221
Final energy ... -18.96 eV per cell

=====

# 7
Below is a geometry-optimized CeMg2 structure, with properties calculated at the PBE level.

```
CeMg2
1.0
1.4764 -5.3966 -0.9767
2.3255 -1.0166 -5.0809
5.3580 -0.0789 1.0243
Ce Mg
2 4
direct
0.8855 0.1145 0.7500
0.1145 0.8855 0.2500
0.7766 0.5488 0.2074
0.4512 0.2234 0.2926
0.5488 0.7766 0.7074
0.2234 0.4512 0.7926
```

Results
Spin magnetization ... 0.373 μB per atom
Symmetry ... C2/c, No. 15
Final energy ... -17.98 eV per cell

=====

# 8
Below is a geometry-optimized Ce2Mg structure, with properties calculated at the PBE level.

```
Ce2Mg
1.0
-0.8672 2.9206 0.9502
-0.1510 -2.4514 2.0378
16.1316 3.1632 5.0003
Ce Mg
4 2
direct
0.3333 0.6667 0.9162
0.6667 0.3333 0.7460
0.3333 0.6667 0.2540
0.6667 0.3333 0.0838
0.3333 0.6667 0.5763
0.6667 0.3333 0.4237
```

Results
Energy relative to the lowest polymorph listed for this composition ... 0.037 eV/atom
Spin magnetization ... 0.000 μB per atom
Symmetry ... P-3m1, No. 164
Final energy ... -26.59 eV per cell

=====

# 9
Below is a geometry-optimized Ce2Mg structure, with properties calculated at the PBE level.

```
Ce2Mg
1.0
5.8539 -2.8796 0.0024
5.8539 2.8796 0.0024
4.4356 0.0000 4.7840
Ce Mg
4 2
direct
0.0000 0.3079 0.6921
0.3079 0.6921 0.0000
0.5000 0.5000 0.5000
0.6921 0.0000 0.3079
0.1706 0.1706 0.1706
0.8294 0.8294 0.8294
```

Results
Energy relative to the lowest polymorph listed for this composition ... 0.080 eV/atom
Spin magnetization ... 0.547 μB per atom
Symmetry ... R32, No. 155
Final energy ... -26.34 eV per cell

=====

# 10
Below is a geometry-optimized Ce5Mg structure, with properties calculated at the PBE level.

```
Ce5Mg
1.0
3.2093 0.0000 0.0000
-1.6047 2.7793 0.0000
0.0000 0.0000 17.3951
Ce Mg
5 1
direct
0.0000 0.0000 0.8318
0.6667 0.3333 0.6650
0.0000 0.0000 0.5000
0.6667 0.3333 0.3350
0.0000 0.0000 0.1682
0.6667 0.3333 0.0000
```

Results
Energy relative to the lowest polymorph listed for this composition ... 0.049 eV/atom
Spin magnetization ... 0.000 μB per atom
Symmetry ... P-6m2, No. 187
Final energy ... -30.78 eV per cell

=====

# 11
Below is a geometry-optimized CeMg2 structure, with properties calculated at the PBE level.

```
CeMg2
1.0
-6.3990 1.7281 6.1658
4.3051 -3.9996 -6.8862
2.5067 -3.4418 3.5662
Ce Mg
2 4
direct
0.1118 0.8882 0.2500
0.8882 0.1118 0.7500
0.4459 0.5541 0.2500
0.7834 0.2166 0.2500
0.2166 0.7834 0.7500
0.5541 0.4459 0.7500
```

Results
Spin magnetization ... 0.505 μB per atom
Symmetry ... Cmcm, No. 63
Final energy ... -17.84 eV per cell

=====

# 12
Below is a geometry-optimized Ce3Mg structure, with properties calculated at the PBE level.

```
Ce3Mg
1.0
3.2840 0.0000 0.0000
0.0000 5.5605 0.0000
0.0000 0.0000 5.7294
Mg Ce
1 3
direct
0.0000 0.0000 0.9632
0.5000 0.0000 0.4526
0.5000 0.5000 0.8955
0.0000 0.5000 0.3554
```

Results
Spin magnetization ... 0.052 μB per atom
Symmetry ... Pmm2, No. 25
Final energy ... -19.10 eV per cell

=====

# 13
Below is a geometry-optimized Ce5Mg structure, with properties calculated at the PBE level.

```
Ce5Mg
1.0
6.4652 -0.0032 0.1236
5.6783 3.0913 0.1236
2.6906 0.6842 7.7955
Ce Mg
5 1
direct
0.9866 0.9866 0.0370
0.3320 0.3320 0.3474
0.9532 0.9532 0.6184
0.6510 0.6510 0.6682
0.2882 0.2882 0.8971
0.6223 0.6223 0.2652
```

Results
Energy relative to the lowest polymorph listed for this composition ... 0.044 eV/atom
Spin magnetization ... 0.000 μB per atom
Symmetry ... Cm, No. 8
Final energy ... -30.81 eV per cell

=====

# 14
Below is a geometry-optimized Ce2Mg structure, with properties calculated at the PBE level.

```
Ce2Mg
1.0
-2.9807 -1.0902 0.2480
0.1392 0.6063 4.3378
-3.3238 4.8108 1.6488
Ce Mg
2 1
direct
0.6886 0.6885 0.6231
0.3114 0.3115 0.3769
0.0000 0.0000 0.0000
```

Results
Energy relative to the lowest polymorph listed for this composition ... 0.007 eV/atom
Spin magnetization ... 0.000 μB per atom
Symmetry ... Immm, No. 71
Final energy ... -13.39 eV per cell

=====

# 15
Below is a geometry-optimized Ce5Mg structure, with properties calculated at the PBE level.

```
Ce5Mg
1.0
-1.8709 2.6094 0.4942
-0.3235 -0.8240 3.1257
12.0057 7.9744 3.3448
Ce Mg
5 1
direct
0.0000 0.0000 0.6734
0.5000 0.5000 0.8378
0.0000 0.0000 0.0000
0.5000 0.5000 0.1622
0.0000 0.0000 0.3266
0.5000 0.5000 0.5000
```

Results
Energy relative to the lowest polymorph listed for this composition ... 0.000 eV/atom
Spin magnetization ... 0.114 μB per atom
Symmetry ... P4/mmm, No. 123
Final energy ... -31.07 eV per cell

=====

# 16
Below is a geometry-optimized Ce2Mg structure, with properties calculated at the PBE level.

```
Ce2Mg
1.0
1.5643 6.4799 0.2462
-1.5643 6.4799 0.2462
0.0000 2.0465 7.6479
Ce Mg
4 2
direct
0.7827 0.7827 0.1491
0.1395 0.1395 0.4442
0.8605 0.8605 0.5558
0.2173 0.2173 0.8509
0.5178 0.5178 0.1805
0.4822 0.4822 0.8195
```

Results
Energy relative to the lowest polymorph listed for this composition ... 0.036 eV/atom
Spin magnetization ... 0.165 μB per atom
Symmetry ... C2/m, No. 12
Final energy ... -26.60 eV per cell

=====

# 17
Below is a geometry-optimized Ce3Mg structure, with properties calculated at the PBE level.

```
Ce3Mg
1.0
-1.7683 0.5035 -5.1026
3.2654 -5.7977 -1.7037
-3.2280 -6.0406 0.5226
Mg Ce
2 6
direct
0.7500 0.6666 0.6668
0.2500 0.3334 0.3332
0.7500 0.6541 0.1730
0.7500 0.1730 0.6541
0.7500 0.1729 0.1730
0.2500 0.8271 0.8269
0.2500 0.8270 0.3460
0.2500 0.3459 0.8270
```

Results
Spin magnetization ... 0.769 μB per atom
Symmetry ... P6_3/mmc, No. 194
Final energy ... -37.71 eV per cell

=====

# 18
Below is a geometry-optimized CeMg2 structure, with properties calculated at the PBE level.

```
CeMg2
1.0
-3.0806 0.0008 5.8134
-5.3881 -0.4615 3.7471
-0.5620 -7.5072 2.3075
Ce Mg
2 4
direct
0.5953 0.5953 0.3074
0.9570 0.9570 0.5854
0.9971 0.9971 0.9942
0.3297 0.3297 0.3212
0.6768 0.6768 0.6759
0.2775 0.2775 0.9492
```

Results
Spin magnetization ... 0.171 μB per atom
Symmetry ... Cm, No. 8
Final energy ... -18.12 eV per cell

=====

# 19
Below is a geometry-optimized Ce3Mg structure, with properties calculated at the PBE level.

```
Ce3Mg
1.0
-1.6507 2.5968 0.8091
-1.3858 -2.8621 0.1031
3.4515 -1.2707 11.1198
Mg Ce
1 3
direct
0.6667 0.3333 0.5000
0.6667 0.3333 0.0000
0.0000 0.0000 0.7504
0.0000 0.0000 0.2496
```

Results
Spin magnetization ... 0.001 μB per atom
Symmetry ... P-6m2, No. 187
Final energy ... -19.08 eV per cell

=====

# 20
Below is a geometry-optimized Ce2Mg structure, with properties calculated at the PBE level.

```
Ce2Mg
1.0
2.8455 -4.9286 0.0000
2.8455 4.9286 0.0000
0.0000 0.0000 5.6670
Ce Mg
4 2
direct
0.0000 0.6570 0.0000
0.6570 0.0000 0.0000
0.3429 0.3429 0.0000
0.0000 0.0000 0.5000
0.6667 0.3333 0.5000
0.3333 0.6667 0.5000
```

Results
Energy relative to the lowest polymorph listed for this composition ... 0.088 eV/atom
Spin magnetization ... 0.434 μB per atom
Symmetry ... P-62m, No. 189
Final energy ... -26.29 eV per cell

=====

# 21
Below is a geometry-optimized CeMg2 structure, with properties calculated at the PBE level.

```
CeMg2
1.0
-3.3726 -8.2423 1.1657
5.6068 6.9854 0.6616
-2.5386 1.6370 4.2299
Ce Mg
2 4
direct
0.2664 0.7336 0.2500
0.7336 0.2664 0.7500
0.5989 0.4011 0.2500
0.9426 0.0574 0.2500
0.0574 0.9426 0.7500
0.4011 0.5989 0.7500
```

Results
Spin magnetization ... 0.000 μB per atom
Symmetry ... Cmcm, No. 63
Final energy ... -18.25 eV per cell

=====

# 22
Below is a geometry-optimized Ce2Mg17 structure, with properties calculated at the PBE level.

```
Ce2Mg17
1.0
7.7359 -0.0286 1.0752
0.9322 7.6796 1.0752
-0.0324 -0.0286 7.8102
Ce Mg
2 17
direct
0.3317 0.3317 0.3317
0.6683 0.6683 0.6683
0.6488 0.6488 0.1599
0.1599 0.6488 0.6488
0.9008 0.9008 0.9008
0.0992 0.0992 0.0992
0.0000 0.0000 0.5000
0.0000 0.5000 0.0000
0.5000 0.0000 0.0000
0.3020 0.6980 0.0000
0.6980 0.0000 0.3020
0.0000 0.3020 0.6980
0.6980 0.3020 0.0000
0.3020 0.0000 0.6980
0.0000 0.6980 0.3020
0.8401 0.3512 0.3512
0.3512 0.3512 0.8401
0.3512 0.8401 0.3512
0.6488 0.1599 0.6488
```

Results
Spin magnetization ... 0.123 μB per atom
Symmetry ... R-3m, No. 166
Final energy ... -39.20 eV per cell

=====

# 23
Below is a geometry-optimized CeMg2 structure, with properties calculated at the PBE level.

```
CeMg2
1.0
-4.9514 2.1799 -2.1197
-3.2232 0.8818 -4.7534
-5.1905 -6.3191 -0.2912
Ce Mg
2 4
direct
0.6631 0.6631 0.4606
0.3369 0.3369 0.5394
0.3193 0.3193 0.1061
0.0188 0.0188 0.2028
0.9812 0.9812 0.7972
0.6807 0.6807 0.8939
```

Results
Spin magnetization ... 0.151 μB per atom
Symmetry ... C2/m, No. 12
Final energy ... -18.30 eV per cell

=====

# 24
Below is a geometry-optimized Ce2Mg structure, with properties calculated at the PBE level.

```
Ce2Mg
1.0
6.1957 0.0000 0.0000
3.0979 5.3656 0.0000
3.0979 1.7885 5.0588
Mg Ce
2 4
direct
0.0000 0.0000 0.0000
0.2500 0.2500 0.2500
0.1250 0.6250 0.6250
0.6250 0.1250 0.6250
0.6250 0.6250 0.6250
0.6250 0.6250 0.1250
```

Results
Energy relative to the lowest polymorph listed for this composition ... 0.242 eV/atom
Spin magnetization ... 0.658 μB per atom
Symmetry ... Fd-3m, No. 227
Final energy ... -25.36 eV per cell

=====

# 25
Below is a geometry-optimized Ce2Mg structure, with properties calculated at the PBE level.

```
Ce2Mg
1.0
2.0414 6.9431 4.7751
-2.2069 -4.6477 -6.9789
-5.5309 0.7811 1.2289
Ce Mg
4 2
direct
0.4273 0.5727 0.2500
0.7811 0.2189 0.2500
0.2189 0.7811 0.7500
0.5727 0.4273 0.7500
0.1079 0.8921 0.2500
0.8921 0.1079 0.7500
```

Results
Energy relative to the lowest polymorph listed for this composition ... 0.046 eV/atom
Spin magnetization ... 0.226 μB per atom
Symmetry ... Cmcm, No. 63
Final energy ... -26.54 eV per cell

=====

# 26
Below is a geometry-optimized CeMg2 structure, with properties calculated at the PBE level.

```
CeMg2
1.0
-4.3090 -3.6836 2.1906
-4.3767 2.2332 3.5766
-5.6980 0.4200 -2.0715
Ce Mg
2 4
direct
0.5000 0.5000 0.5000
0.7500 0.7500 0.7500
0.1250 0.1250 0.1250
0.1250 0.6250 0.1250
0.1250 0.1250 0.6250
0.6250 0.1250 0.1250
```

Results
Spin magnetization ... 0.372 μB per atom
Symmetry ... Fd-3m, No. 227
Final energy ... -18.14 eV per cell

=====

# 27
Below is a geometry-optimized Ce5Mg structure, with properties calculated at the PBE level.

```
Ce5Mg
1.0
5.7620 0.0000 0.0000
-2.8810 4.9900 0.0000
0.0000 0.0000 5.4607
Ce Mg
5 1
direct
0.0000 0.3490 0.0000
0.6510 0.6510 0.0000
0.3490 0.0000 0.0000
0.6667 0.3333 0.5000
0.3333 0.6667 0.5000
0.0000 0.0000 0.5000
```

Results
Energy relative to the lowest polymorph listed for this composition ... 0.070 eV/atom
Spin magnetization ... 0.086 μB per atom
Symmetry ... P-62m, No. 189
Final energy ... -30.65 eV per cell

=====

# 28
Below is a geometry-optimized CeMg2 structure, with properties calculated at the PBE level.

```
CeMg2
1.0
3.1637 0.0000 0.0000
-1.5819 2.7399 0.0000
0.0000 0.0000 16.7137
Ce Mg
2 4
direct
0.6667 0.3333 0.5904
0.3333 0.6667 0.4096
0.6667 0.3333 0.9213
0.3333 0.6667 0.7642
0.6667 0.3333 0.2358
0.3333 0.6667 0.0787
```

Results
Spin magnetization ... 0.002 μB per atom
Symmetry ... P-3m1, No. 164
Final energy ... -18.14 eV per cell